No. 1
First-principles (PBE with a Hubbard U) data for a relaxed CsMnO2 crystal, as listed in the Alexandria database.

CIF file:
```
data_CsMnO2
_chemical_formula_sum 'Cs1 Mn1 O2'
_cell_length_a 4.062
_cell_length_b 3.052
_cell_length_c 6.348
_cell_angle_alpha 90.00
_cell_angle_beta 90.08
_cell_angle_gamma 90.00
_symmetry_space_group_name_H-M 'P 1 2/m 1'
_symmetry_Int_Tables_number 10
loop_
_symmetry_equiv_pos_as_xyz
'x,y,z'
'-x,-y,-z'
'-x,y,-z'
'x,-y,z'
loop_
_atom_site_label
_atom_site_fract_x
_atom_site_fract_y
_atom_site_fract_z
_atom_site_occupancy
Cs1 0.000 0.000 0.000 1
Mn1 0.500 0.000 0.500 1
O1 0.497 0.500 0.697 1
```

Results
final energy = -5.92 eV/atom
volume = 19.7 Å³/atom

---

No. 2
First-principles (PBE with a Hubbard U) data for a relaxed CsMnOs2O8 crystal, as listed in the Alexandria database.

CIF file:
```
data_CsMnOs2O8
_chemical_formula_sum 'Cs3 Mn3 Os6 O24'
_cell_length_a 5.8979
_cell_length_b 5.8979
_cell_length_c 26.2533
_cell_angle_alpha 90.00
_cell_angle_beta 90.00
_cell_angle_gamma 120.00
_symmetry_space_group_name_H-M 'R 3 2'
_symmetry_Int_Tables_number 155
_symmetry_space_group_name_Hall 'R 3 2"'
loop_
_atom_site_label
_atom_site_fract_x
_atom_site_fract_y
_atom_site_fract_z
_atom_site_occupancy
Cs1 0.0000 0.0000 0.0000 1
Mn1 0.0000 0.0000 0.5000 1
Os1 0.0000 0.0000 0.2375 1
O1 0.0000 0.0000 0.3053 1
O2 0.0000 0.4988 0.1168 1
```

Results
final energy = -7.01 eV/atom
volume = 22.0 Å³/atom

---

No. 3
First-principles (PBE with a Hubbard U) data for a relaxed CsMn2OsO8 crystal, as listed in the Alexandria database.

CIF file:
```
data_CsMn2OsO8
_chemical_formula_sum 'Cs2 Mn4 Os2 O16'
_cell_length_a 8.629
_cell_length_b 5.604
_cell_length_c 8.728
_cell_angle_alpha 90.00
_cell_angle_beta 95.52
_cell_angle_gamma 90.00
_symmetry_space_group_name_H-M 'C 1 2/m 1'
_symmetry_Int_Tables_number 12
loop_
_symmetry_equiv_pos_as_xyz
'x,y,z'
'-x,-y,-z'
'-x,y,-z'
'x,-y,z'
'x+1/2,y+1/2,z'
'-x+1/2,-y+1/2,-z'
'-x+1/2,y+1/2,-z'
'x+1/2,-y+1/2,z'
loop_
_atom_site_label
_atom_site_fract_x
_atom_site_fract_y
_atom_site_fract_z
_atom_site_occupancy
Cs1 0.000 0.000 0.000 1
Mn1 0.124 0.500 0.313 1
Os1 0.000 0.000 0.500 1
O1 0.013 0.240 0.342 1
O2 0.174 0.500 0.136 1
O3 0.222 0.000 0.539 1
```

Results
final energy = -6.59 eV/atom
volume = 17.5 Å³/atom